Arrangement a

This record from Alexandria via LeMat-Bulk describes crystalline VCdCl2 at its relaxed geometry. The functional is GGA-PBE. Values from VASP.

Properties
- total magnetic moment (μB per atom) = 0.104

Structure (Quantum ESPRESSO input):
```
&SYSTEM
  ibrav = 0, nat = 4, ntyp = 3
/
ATOMIC_SPECIES
Cl 35.45 Cl.upf
Cd 112.41 Cd.upf
V 50.94 V.upf
CELL_PARAMETERS angstrom
5.2736 4.8842 7.2002
7.6598 4.0450 5.3360
6.0459 6.6733 4.7352
ATOMIC_POSITIONS angstrom
Cl 2.1647 1.7796 1.9699
Cl 16.8145 13.8229 15.3014
Cd 0.0000 0.0000 0.0000
V 9.4896 7.8013 8.6357
```

Arrangement b

This record from Alexandria via LeMat-Bulk describes crystalline VCdCl2 at its relaxed geometry. The functional is GGA-PBE. Values from VASP.

Properties
- total magnetic moment (μB per atom) = 0.750

Structure (Quantum ESPRESSO input):
```
&SYSTEM
  ibrav = 0, nat = 8, ntyp = 3
/
ATOMIC_SPECIES
V 50.94 V.upf
Cd 112.41 Cd.upf
Cl 35.45 Cl.upf
CELL_PARAMETERS angstrom
8.2989 0.0000 0.0000
0.0000 8.2989 0.0000
4.1494 4.1494 2.9645
ATOMIC_POSITIONS angstrom
V 4.1494 4.1494 0.0000
V 4.1494 8.2989 1.4822
Cd 8.2989 4.1494 1.4822
Cd 0.0000 0.0000 0.0000
Cl 6.2241 7.2781 2.2234
Cl 10.3736 9.3196 2.2234
Cl 3.1286 6.2241 0.7411
Cl 5.1702 2.0747 0.7411
```

Verdict on stability: arrangement a comes out on top.

Arrangement a

This record from Alexandria via LeMat-Bulk describes crystalline CdWCl3 at its relaxed geometry. The functional is GGA-PBE. Values from VASP.

Properties
- total magnetic moment (μB per atom) = 1.000

Structure (Quantum ESPRESSO input):
```
&SYSTEM
  ibrav = 0, nat = 5, ntyp = 3
/
ATOMIC_SPECIES
Cl 35.45 Cl.upf
W 183.84 W.upf
Cd 112.41 Cd.upf
CELL_PARAMETERS angstrom
-1.8774 3.9674 2.7070
-1.5862 -3.2556 3.6712
4.5334 0.5039 2.4056
ATOMIC_POSITIONS angstrom
Cl -0.9387 1.9837 1.3535
Cl 2.2667 0.2520 1.2028
Cl -0.7931 -1.6278 1.8356
W 0.5349 0.6078 4.3919
Cd 0.0000 0.0000 0.0000
```

Arrangement b

This record from Alexandria via LeMat-Bulk describes crystalline CdWCl3 at its relaxed geometry. The functional is GGA-PBE. Values from VASP.

Properties
- total magnetic moment (μB per atom) = 0.511

Structure (Quantum ESPRESSO input):
```
&SYSTEM
  ibrav = 0, nat = 5, ntyp = 3
/
ATOMIC_SPECIES
Cd 112.41 Cd.upf
Cl 35.45 Cl.upf
W 183.84 W.upf
CELL_PARAMETERS angstrom
-0.3058 -4.2614 -2.5339
3.7036 -1.8841 2.7216
-3.2960 -1.7217 3.2933
ATOMIC_POSITIONS angstrom
Cd 0.0509 -3.9336 1.7405
Cl 1.8518 -0.9421 1.3608
Cl -1.6480 -0.8608 1.6467
Cl -0.1529 -2.1307 -1.2669
W 0.0000 0.0000 0.0000
```

Verdict on stability: arrangement b comes out on top.

Arrangement a

This record from Alexandria via LeMat-Bulk describes crystalline CdW3Cl at its relaxed geometry. The functional is GGA-PBE. Values from VASP.

Properties
- total magnetic moment (μB per atom) = 0.000

Structure (Quantum ESPRESSO input):
```
&SYSTEM
  ibrav = 0, nat = 5, ntyp = 3
/
ATOMIC_SPECIES
W 183.84 W.upf
Cl 35.45 Cl.upf
Cd 112.41 Cd.upf
CELL_PARAMETERS angstrom
-2.7065 -0.3358 3.5104
-1.4357 -3.9369 -1.4836
3.2209 -2.0370 2.2885
ATOMIC_POSITIONS angstrom
W -1.3533 -0.1679 1.7552
W -0.7179 -1.9684 -0.7418
W 1.6105 -1.0185 1.1442
Cl 0.0000 0.0000 0.0000
Cd -0.4607 -3.1549 2.1577
```

Arrangement b

This record from Alexandria via LeMat-Bulk describes crystalline CdW3Cl at its relaxed geometry. The functional is GGA-PBE. Values from VASP.

Properties
- total magnetic moment (μB per atom) = 0.581

Structure (Quantum ESPRESSO input):
```
&SYSTEM
  ibrav = 0, nat = 5, ntyp = 3
/
ATOMIC_SPECIES
Cl 35.45 Cl.upf
W 183.84 W.upf
Cd 112.41 Cd.upf
CELL_PARAMETERS angstrom
4.9717 0.0000 0.0000
0.0000 4.9717 0.0000
0.0000 0.0000 4.9717
ATOMIC_POSITIONS angstrom
Cl 2.4858 2.4858 2.4858
W 0.0000 0.0000 2.4858
W 0.0000 2.4858 0.0000
W 2.4858 0.0000 0.0000
Cd 0.0000 0.0000 0.0000
```

Verdict on stability: arrangement a comes out on top.

Arrangement a

This record from Alexandria via LeMat-Bulk describes crystalline Y2Cd2Cl at its relaxed geometry. The functional is GGA-PBE. Values from VASP.

Properties
- total magnetic moment (μB per atom) = 0.000

Structure (Quantum ESPRESSO input):
```
&SYSTEM
  ibrav = 0, nat = 10, ntyp = 3
/
ATOMIC_SPECIES
Cl 35.45 Cl.upf
Y 88.91 Y.upf
Cd 112.41 Cd.upf
CELL_PARAMETERS angstrom
7.3263 0.0000 0.0000
0.0000 7.3263 0.0000
0.0000 0.0000 5.0529
ATOMIC_POSITIONS angstrom
Cl 3.6632 3.6632 0.0000
Cl 0.0000 0.0000 0.0000
Y 2.4594 6.1226 0.0000
Y 6.1226 4.8669 0.0000
Y 4.8669 1.2038 0.0000
Y 1.2038 2.4594 0.0000
Cd 6.3067 2.6435 2.5265
Cd 1.0197 4.6828 2.5265
Cd 4.6828 6.3067 2.5265
Cd 2.6435 1.0197 2.5265
```

Arrangement b

This record from Alexandria via LeMat-Bulk describes crystalline Y2Cd2Cl at its relaxed geometry. The functional is GGA-PBE. Values from VASP.

Properties
- total magnetic moment (μB per atom) = 0.251

Structure (Quantum ESPRESSO input):
```
&SYSTEM
  ibrav = 0, nat = 5, ntyp = 3
/
ATOMIC_SPECIES
Cd 112.41 Cd.upf
Y 88.91 Y.upf
Cl 35.45 Cl.upf
CELL_PARAMETERS angstrom
-2.0103 2.0103 8.4814
2.0103 -2.0103 8.4814
2.0103 2.0103 -8.4814
ATOMIC_POSITIONS angstrom
Cd 0.0000 2.0103 4.2407
Cd 2.0103 0.0000 4.2407
Y 0.0000 0.0000 6.7402
Y 0.0000 0.0000 10.2226
Cl 0.0000 0.0000 0.0000
```

Verdict on stability: arrangement a comes out on top.

Arrangement a

This record from Alexandria via LeMat-Bulk describes crystalline Zn2CdCl at its relaxed geometry. The functional is GGA-PBE. Values from VASP.

Properties
- total magnetic moment (μB per atom) = 0.000

Structure (Quantum ESPRESSO input):
```
&SYSTEM
  ibrav = 0, nat = 4, ntyp = 3
/
ATOMIC_SPECIES
Cl 35.45 Cl.upf
Zn 65.41 Zn.upf
Cd 112.41 Cd.upf
CELL_PARAMETERS angstrom
-3.8860 -0.0117 4.7897
-4.8024 -3.8029 0.7186
6.0036 0.0653 -1.4123
ATOMIC_POSITIONS angstrom
Cl -1.1133 -0.9268 3.0658
Zn -4.3442 -1.9073 2.7541
Zn 0.0000 0.0000 0.0000
Cd -1.5715 -2.8225 1.0302
```

Arrangement b

This record from Alexandria via LeMat-Bulk describes crystalline Zn2CdCl at its relaxed geometry. The functional is GGA-PBE. Values from VASP.

Properties
- total magnetic moment (μB per atom) = 0.000

Structure (Quantum ESPRESSO input):
```
&SYSTEM
  ibrav = 0, nat = 4, ntyp = 3
/
ATOMIC_SPECIES
Zn 65.41 Zn.upf
Cd 112.41 Cd.upf
Cl 35.45 Cl.upf
CELL_PARAMETERS angstrom
3.2648 0.0000 0.0000
0.0000 3.2648 0.0000
0.0000 0.0000 7.4931
ATOMIC_POSITIONS angstrom
Zn 0.0000 0.0000 0.0237
Zn 0.0000 0.0000 3.7229
Cd 1.6324 1.6324 1.8733
Cl 1.6324 1.6324 5.6198
```

Verdict on stability: arrangement b comes out on top.

Arrangement a

This record from Alexandria via LeMat-Bulk describes crystalline Zn3CdCl at its relaxed geometry. The functional is GGA-PBE. Values from VASP.

Properties
- total magnetic moment (μB per atom) = 0.000

Structure (Quantum ESPRESSO input):
```
&SYSTEM
  ibrav = 0, nat = 5, ntyp = 3
/
ATOMIC_SPECIES
Zn 65.41 Zn.upf
Cd 112.41 Cd.upf
Cl 35.45 Cl.upf
CELL_PARAMETERS angstrom
5.0850 0.0000 0.0000
0.0000 5.0850 0.0000
0.0000 0.0000 5.0850
ATOMIC_POSITIONS angstrom
Zn 0.0000 2.5425 0.0000
Zn 0.0000 0.0000 2.5425
Zn 2.5425 0.0000 0.0000
Cd 2.5425 2.5425 2.5425
Cl 0.0000 0.0000 0.0000
```

Arrangement b

This record from Alexandria via LeMat-Bulk describes crystalline Zn3CdCl at its relaxed geometry. The functional is GGA-PBE. Values from VASP.

Properties
- total magnetic moment (μB per atom) = 0.000

Structure (Quantum ESPRESSO input):
```
&SYSTEM
  ibrav = 0, nat = 5, ntyp = 3
/
ATOMIC_SPECIES
Cl 35.45 Cl.upf
Zn 65.41 Zn.upf
Cd 112.41 Cd.upf
CELL_PARAMETERS angstrom
-2.5856 -4.0976 1.7141
3.9218 -1.1749 3.1069
-2.0852 2.8710 3.7179
ATOMIC_POSITIONS angstrom
Cl -0.3745 -1.2008 4.2695
Zn -1.0426 1.4355 1.8589
Zn 1.9609 -0.5875 1.5535
Zn -1.2928 -2.0488 0.8571
Cd 0.0000 0.0000 0.0000
```

Verdict on stability: arrangement b comes out on top.